# Ba2LiSc | Alexandria | SCAN | single point on PBEsol structure
# **Raw total energy**: -188.25 eV/cell
# **Energy of formation from the pure elements**: 0.400 eV/atom
data_Ba2LiSc
_space_group_name_H-M_alt 'C 1 2/m 1'
_space_group_IT_number 12
_cell_length_a 11.930
_cell_length_b 3.753
_cell_length_c 6.759
_cell_angle_alpha 90.00
_cell_angle_beta 100.30
_cell_angle_gamma 90.00
loop_
_space_group_symop_operation_xyz
'x,y,z'
'-x,-y,-z'
'-x,y,-z'
'x,-y,z'
'x+1/2,y+1/2,z'
'-x+1/2,-y+1/2,-z'
'-x+1/2,y+1/2,-z'
'x+1/2,-y+1/2,z'
loop_
_atom_site_label
_atom_site_type_symbol
_atom_site_fract_x
_atom_site_fract_y
_atom_site_fract_z
Ba1 Ba 0.247 0.000 0.252
Li1 Li 0.000 0.500 0.000
Sc1 Sc 0.000 0.000 0.500


# BaLiSc2 | Alexandria | SCAN | single point on PBEsol structure
# **Raw total energy**: -137.66 eV/cell
# **Energy above the lowest structure with this stoichiometry**: 0.27 eV per formula unit
# **Energy of formation from the pure elements**: 0.396 eV/atom
data_BaLiSc2
_space_group_name_H-M_alt 'I m m 2'
_space_group_IT_number 44
_cell_length_a 3.646
_cell_length_b 5.577
_cell_length_c 10.883
_cell_angle_alpha 90.00
_cell_angle_beta 90.00
_cell_angle_gamma 90.00
loop_
_space_group_symop_operation_xyz
'x,y,z'
'-x,-y,z'
'-x,y,z'
'x,-y,z'
'x+1/2,y+1/2,z+1/2'
'-x+1/2,-y+1/2,z+1/2'
'-x+1/2,y+1/2,z+1/2'
'x+1/2,-y+1/2,z+1/2'
loop_
_atom_site_label
_atom_site_type_symbol
_atom_site_fract_x
_atom_site_fract_y
_atom_site_fract_z
Ba1 Ba 0.000 0.000 0.000
Li1 Li 0.000 0.500 0.744
Sc1 Sc 0.000 0.000 0.461
Sc2 Sc 0.000 0.500 0.208


# BaLiSc2 | Alexandria | SCAN | single point on PBEsol structure
# **Raw total energy**: -138.19 eV/cell
# **Energy above the lowest structure with this stoichiometry**: 0.00 eV per formula unit
# **Energy of formation from the pure elements**: 0.329 eV/atom
data_BaLiSc2
_space_group_name_H-M_alt 'I m m m'
_space_group_IT_number 71
_space_group_name_Hall '-I 2 2'
_cell_length_a 3.525
_cell_length_b 5.484
_cell_length_c 11.477
_cell_angle_alpha 90.00
_cell_angle_beta 90.00
_cell_angle_gamma 90.00
loop_
_atom_site_label
_atom_site_type_symbol
_atom_site_fract_x
_atom_site_fract_y
_atom_site_fract_z
Ba1 Ba 0.000 0.000 0.000
Li1 Li 0.000 0.000 0.500
Sc1 Sc 0.000 0.500 0.223


# BaLiSc | Alexandria | SCAN | single point on PBEsol structure
# **Raw total energy**: -54.88 eV/cell
# **Energy of formation from the pure elements**: 0.431 eV/atom
data_BaLiSc
_space_group_name_H-M_alt 'P 3 m 1'
_space_group_IT_number 156
_cell_length_a 5.5787
_cell_length_b 5.5787
_cell_length_c 3.4389
_cell_angle_alpha 90.00
_cell_angle_beta 90.00
_cell_angle_gamma 120.00
loop_
_space_group_symop_operation_xyz
'x,y,z'
'-y,x-y,z'
'-x+y,-x,z'
'-y,-x,z'
'-x+y,y,z'
'x,x-y,z'
loop_
_atom_site_label
_atom_site_type_symbol
_atom_site_fract_x
_atom_site_fract_y
_atom_site_fract_z
Ba1 Ba 0.0000 0.0000 0.0000
Li1 Li 0.3333 0.6667 0.6498
Sc1 Sc 0.6667 0.3333 0.3920


# BaLiSc2 | Alexandria | SCAN | single point on PBEsol structure
# **Raw total energy**: -68.98 eV/cell
# **Energy above the lowest structure with this stoichiometry**: 0.12 eV per formula unit
# **Energy of formation from the pure elements**: 0.359 eV/atom
data_BaLiSc2
_space_group_name_H-M_alt 'P 4/m m m'
_space_group_IT_number 123
_space_group_name_Hall '-P 4 2'
_cell_length_a 3.575
_cell_length_b 3.575
_cell_length_c 8.793
_cell_angle_alpha 90.00
_cell_angle_beta 90.00
_cell_angle_gamma 90.00
loop_
_atom_site_label
_atom_site_type_symbol
_atom_site_fract_x
_atom_site_fract_y
_atom_site_fract_z
Ba1 Ba 0.000 0.000 0.000
Li1 Li 0.000 0.000 0.500
Sc1 Sc 0.500 0.500 0.323


# Ba2LiScTa | Alexandria | SCAN | single point on PBEsol structure
# **Raw total energy**: -156.92 eV/cell
# **Energy of formation from the pure elements**: 1.078 eV/atom
data_Ba2LiScTa
_space_group_name_H-M_alt 'P 4/m m m'
_space_group_IT_number 123
_space_group_name_Hall '-P 4 2'
_cell_length_a 6.316
_cell_length_b 6.316
_cell_length_c 4.822
_cell_angle_alpha 90.00
_cell_angle_beta 90.00
_cell_angle_gamma 90.00
loop_
_atom_site_label
_atom_site_type_symbol
_atom_site_fract_x
_atom_site_fract_y
_atom_site_fract_z
Ba1 Ba 0.000 0.500 0.000
Li1 Li 0.000 0.000 0.500
Sc1 Sc 0.500 0.500 0.000
Ta1 Ta 0.500 0.500 0.500


# BaLiSc2Zn | Alexandria | SCAN | single point on PBEsol structure
# **Raw total energy**: -82.15 eV/cell
# **Energy of formation from the pure elements**: 0.357 eV/atom
data_BaLiSc2Zn
_space_group_name_H-M_alt 'P 4/m m m'
_space_group_IT_number 123
_space_group_name_Hall '-P 4 2'
_cell_length_a 5.202
_cell_length_b 5.202
_cell_length_c 6.133
_cell_angle_alpha 90.00
_cell_angle_beta 90.00
_cell_angle_gamma 90.00
loop_
_atom_site_label
_atom_site_type_symbol
_atom_site_fract_x
_atom_site_fract_y
_atom_site_fract_z
Ba1 Ba 0.000 0.000 0.000
Li1 Li 0.500 0.500 0.000
Sc1 Sc 0.000 0.500 0.500
Zn1 Zn 0.000 0.000 0.500


# BaLi2Se | Alexandria | SCAN | single point on PBEsol structure
# **Raw total energy**: -68.03 eV/cell
# **ΔE_f (raw)**: -0.905 eV/atom
data_BaLi2Se
_space_group_name_H-M_alt 'P 1 2/m 1'
_space_group_IT_number 10
_cell_length_a 4.523
_cell_length_b 4.480
_cell_length_c 5.490
_cell_angle_alpha 90.00
_cell_angle_beta 98.50
_cell_angle_gamma 90.00
loop_
_space_group_symop_operation_xyz
'x,y,z'
'-x,-y,-z'
'-x,y,-z'
'x,-y,z'
loop_
_atom_site_label
_atom_site_type_symbol
_atom_site_fract_x
_atom_site_fract_y
_atom_site_fract_z
Ba1 Ba 0.000 0.000 0.000
Li1 Li 0.432 0.500 0.718
Se1 Se 0.500 0.000 0.500


# Ba4LiSe | Alexandria | SCAN | single point on PBEsol structure
# **Raw total energy**: -719.51 eV/cell
# **ΔE_f (raw)**: 0.132 eV/atom
data_Ba4LiSe
_space_group_name_H-M_alt 'F -4 3 m'
_space_group_IT_number 216
_space_group_name_Hall 'F -4 2 3'
_cell_length_a 10.132
_cell_length_b 10.132
_cell_length_c 10.132
_cell_angle_alpha 90.00
_cell_angle_beta 90.00
_cell_angle_gamma 90.00
loop_
_atom_site_label
_atom_site_type_symbol
_atom_site_fract_x
_atom_site_fract_y
_atom_site_fract_z
Ba1 Ba 0.123 0.123 0.123
Li1 Li 0.000 0.000 0.500
Se1 Se 0.250 0.250 0.750


# BaLi2Se | Alexandria | SCAN | single point on PBEsol structure
# **Raw total energy**: -204.86 eV/cell
# **ΔE_f (raw)**: -0.969 eV/atom
data_BaLi2Se
_space_group_name_H-M_alt 'R 3 m'
_space_group_IT_number 160
_space_group_name_Hall 'R 3 -2"'
_cell_length_a 4.3176
_cell_length_b 4.3176
_cell_length_c 18.5401
_cell_angle_alpha 90.00
_cell_angle_beta 90.00
_cell_angle_gamma 120.00
loop_
_atom_site_label
_atom_site_type_symbol
_atom_site_fract_x
_atom_site_fract_y
_atom_site_fract_z
Ba1 Ba 0.0000 0.0000 0.0000
Li1 Li 0.0000 0.0000 0.1979
Li2 Li 0.0000 0.0000 0.4867
Se1 Se 0.0000 0.0000 0.7997


# BaLiSe2 | Alexandria | SCAN | single point on PBEsol structure
# **Raw total energy**: -87.22 eV/cell
# **ΔE_f (raw)**: -1.281 eV/atom
data_BaLiSe2
_space_group_name_H-M_alt 'P 4/m m m'
_space_group_IT_number 123
_space_group_name_Hall '-P 4 2'
_cell_length_a 5.116
_cell_length_b 5.116
_cell_length_c 4.019
_cell_angle_alpha 90.00
_cell_angle_beta 90.00
_cell_angle_gamma 90.00
loop_
_atom_site_label
_atom_site_type_symbol
_atom_site_fract_x
_atom_site_fract_y
_atom_site_fract_z
Ba1 Ba 0.000 0.000 0.000
Li1 Li 0.500 0.500 0.000
Se1 Se 0.000 0.500 0.500


# Ba2LiSe2 | Alexandria | SCAN | single point on PBEsol structure
# **Raw total energy**: -255.74 eV/cell
# **ΔE_f (raw)**: -1.245 eV/atom
data_Ba2LiSe2
_space_group_name_H-M_alt 'I 4/m m m'
_space_group_IT_number 139
_space_group_name_Hall '-I 4 2'
_cell_length_a 5.986
_cell_length_b 5.986
_cell_length_c 12.164
_cell_angle_alpha 90.00
_cell_angle_beta 90.00
_cell_angle_gamma 90.00
loop_
_atom_site_label
_atom_site_type_symbol
_atom_site_fract_x
_atom_site_fract_y
_atom_site_fract_z
Ba1 Ba 0.000 0.000 0.178
Li1 Li 0.000 0.000 0.500
Se1 Se 0.000 0.500 0.250


# BaLi2Se | Alexandria | SCAN | single point on PBEsol structure
# **Raw total energy**: -268.75 eV/cell
# **ΔE_f (raw)**: -0.695 eV/atom
data_BaLi2Se
_space_group_name_H-M_alt 'F m m m'
_space_group_IT_number 69
_space_group_name_Hall '-F 2 2'
_cell_length_a 6.309
_cell_length_b 6.348
_cell_length_c 12.554
_cell_angle_alpha 90.00
_cell_angle_beta 90.00
_cell_angle_gamma 90.00
loop_
_atom_site_label
_atom_site_type_symbol
_atom_site_fract_x
_atom_site_fract_y
_atom_site_fract_z
Ba1 Ba 0.000 0.000 0.000
Li1 Li 0.250 0.000 0.250
Se1 Se 0.000 0.000 0.500


# BaLi2Si | Alexandria | SCAN | single point on PBEsol structure
# **Raw total energy**: -110.96 eV/cell
# **ΔE_f (raw)**: -0.284 eV/atom
data_BaLi2Si
_space_group_name_H-M_alt 'C 1 2/m 1'
_space_group_IT_number 12
_cell_length_a 7.904
_cell_length_b 4.561
_cell_length_c 5.867
_cell_angle_alpha 90.00
_cell_angle_beta 116.55
_cell_angle_gamma 90.00
loop_
_space_group_symop_operation_xyz
'x,y,z'
'-x,-y,-z'
'-x,y,-z'
'x,-y,z'
'x+1/2,y+1/2,z'
'-x+1/2,-y+1/2,-z'
'-x+1/2,y+1/2,-z'
'x+1/2,-y+1/2,z'
loop_
_atom_site_label
_atom_site_type_symbol
_atom_site_fract_x
_atom_site_fract_y
_atom_site_fract_z
Ba1 Ba 0.000 0.000 0.000
Li1 Li 0.194 0.000 0.583
Si1 Si 0.000 0.500 0.500


Across the entries above, density of states at the Fermi level takes the values 4.33; 4.61; 5.73; 3.68; 5.81; 5.14; 6.41; 1.03; 4.79; 0.72; 2.57; 1.74; 2.46; 0.54 states/eV/f.u., respectively.